No. 1
Density functional theory data (PBE) for a geometry-optimized ThSi structure.

space-group type: Fm-3m, No. 225

Cell: 6.0283 6.0283 6.0283 Å, 90.00 90.00 90.00°
Positions (direct):
Th: 0.0000 0.0000 0.0000
Th: 0.0000 0.5000 0.5000
Th: 0.5000 0.0000 0.5000
Th: 0.5000 0.5000 0.0000
Si: 0.0000 0.0000 0.5000
Si: 0.0000 0.5000 0.0000
Si: 0.5000 0.0000 0.0000
Si: 0.5000 0.5000 0.5000

---

No. 2
Density functional theory data (PBE) for a geometry-optimized ThTlSi structure.

space-group type: F-43m, No. 216
energy above the most stable polymorph in this dataset: 0.000 eV per atom

Cell: 6.9107 6.9107 6.9107 Å, 90.00 90.00 90.00°
Positions (direct):
Th: 0.0000 0.0000 0.0000
Th: 0.0000 0.5000 0.5000
Th: 0.5000 0.0000 0.5000
Th: 0.5000 0.5000 0.0000
Tl: 0.0000 0.0000 0.5000
Tl: 0.0000 0.5000 0.0000
Tl: 0.5000 0.0000 0.0000
Tl: 0.5000 0.5000 0.5000
Si: 0.2500 0.2500 0.2500
Si: 0.2500 0.7500 0.7500
Si: 0.7500 0.2500 0.7500
Si: 0.7500 0.7500 0.2500

---

No. 3
Density functional theory data (PBE) for a geometry-optimized TmThSi structure.

space-group type: F-43m, No. 216
energy above the most stable polymorph in this dataset: 0.000 eV per atom

Cell: 6.8923 6.8923 6.8923 Å, 90.00 90.00 90.00°
Positions (direct):
Tm: 0.0000 0.0000 0.0000
Tm: 0.0000 0.5000 0.5000
Tm: 0.5000 0.0000 0.5000
Tm: 0.5000 0.5000 0.0000
Th: 0.0000 0.0000 0.5000
Th: 0.0000 0.5000 0.0000
Th: 0.5000 0.0000 0.0000
Th: 0.5000 0.5000 0.5000
Si: 0.2500 0.2500 0.7500
Si: 0.2500 0.7500 0.2500
Si: 0.7500 0.2500 0.2500
Si: 0.7500 0.7500 0.7500

---

No. 4
Density functional theory data (PBE) for a geometry-optimized ThUSi structure.

space-group type: F-43m, No. 216
energy above the most stable polymorph in this dataset: 0.000 eV per atom

Cell: 6.8380 6.8380 6.8380 Å, 90.00 90.00 90.00°
Positions (direct):
Th: 0.0000 0.0000 0.0000
Th: 0.0000 0.5000 0.5000
Th: 0.5000 0.0000 0.5000
Th: 0.5000 0.5000 0.0000
U: 0.0000 0.0000 0.5000
U: 0.0000 0.5000 0.0000
U: 0.5000 0.0000 0.0000
U: 0.5000 0.5000 0.5000
Si: 0.2500 0.2500 0.2500
Si: 0.2500 0.7500 0.7500
Si: 0.7500 0.2500 0.7500
Si: 0.7500 0.7500 0.2500

---

No. 5
Density functional theory data (PBE) for a geometry-optimized YThSi structure.

space-group type: F-43m, No. 216

Cell: 6.9482 6.9482 6.9482 Å, 90.00 90.00 90.00°
Positions (direct):
Y: 0.0000 0.0000 0.0000
Y: 0.0000 0.5000 0.5000
Y: 0.5000 0.0000 0.5000
Y: 0.5000 0.5000 0.0000
Th: 0.0000 0.0000 0.5000
Th: 0.0000 0.5000 0.0000
Th: 0.5000 0.0000 0.0000
Th: 0.5000 0.5000 0.5000
Si: 0.2500 0.2500 0.7500
Si: 0.2500 0.7500 0.2500
Si: 0.7500 0.2500 0.2500
Si: 0.7500 0.7500 0.7500

---

No. 6
Density functional theory data (PBE) for a geometry-optimized ThZrSi structure.

space-group type: F-43m, No. 216
energy above the most stable polymorph in this dataset: 0.000 eV per atom

Cell: 6.7439 6.7439 6.7439 Å, 90.00 90.00 90.00°
Positions (direct):
Th: 0.0000 0.0000 0.0000
Th: 0.0000 0.5000 0.5000
Th: 0.5000 0.0000 0.5000
Th: 0.5000 0.5000 0.0000
Zr: 0.0000 0.0000 0.5000
Zr: 0.0000 0.5000 0.0000
Zr: 0.5000 0.0000 0.0000
Zr: 0.5000 0.5000 0.5000
Si: 0.2500 0.2500 0.2500
Si: 0.2500 0.7500 0.7500
Si: 0.7500 0.2500 0.7500
Si: 0.7500 0.7500 0.2500

---

The records above give, respectively, uncorrected energy values of -56.36; -60.47; -73.05; -94.43; -81.29; -88.42 eV for the cell shown.